(1)
Computed, not measured: a relaxed structure of ScHPdRu2 at the PBE level of DFT.

Crystal system ... tetragonal
VASP energy ... -6.959 eV/atom
Space group ... No. 123
Density of states at the Fermi level ... 4.837 states/eV per cell

Lattice parameters (Å, degrees): 3.9094 3.9094 4.1758 90.00 90.00 90.00
Sites, in units of the cell vectors:
Sc 0.0000 0.0000 0.5000
Pd 0.5000 0.5000 0.5000
Ru 0.0000 0.5000 0.0000
Ru 0.5000 0.0000 0.0000
H 0.0000 0.0000 0.0000

=====

(2)
Computed, not measured: a relaxed structure of HPdRuSe2 at the PBE level of DFT.

Crystal system ... tetragonal
VASP energy ... -4.671 eV/atom
Space group ... No. 123
Density of states at the Fermi level ... 4.267 states/eV per cell

Lattice parameters (Å, degrees): 4.5745 3.3432 4.5745 90.00 90.00 90.00
Sites, in units of the cell vectors:
Se 0.0000 0.0000 0.5000
Se 0.5000 0.0000 0.0000
Ru 0.0000 0.5000 0.0000
Pd 0.5000 0.5000 0.5000
H 0.0000 0.0000 0.0000

=====

(3)
Computed, not measured: a relaxed structure of Sm2H6PdRu at the PBE level of DFT.

Crystal system ... tetragonal
VASP energy ... -4.919 eV/atom
Space group ... No. 139
Density of states at the Fermi level ... 3.073 states/eV per cell

Lattice parameters (Å, degrees): 5.2802 5.2807 5.2723 60.04 60.05 90.18
Sites, in units of the cell vectors:
Pd 0.0000 0.0000 0.0000
H 0.7380 0.7379 0.0000
H 0.7377 0.7377 0.5247
H 0.2627 0.7374 0.0000
H 0.2619 0.2621 0.0000
H 0.7373 0.2626 0.0000
H 0.2623 0.2623 0.4753
Ru 0.5000 0.5000 0.0000
Sm 0.2500 0.7500 0.5000
Sm 0.7500 0.2500 0.5000

=====

(4)
Computed, not measured: a relaxed structure of SmH6PdRu at the PBE level of DFT.

Crystal system ... hexagonal
VASP energy ... -4.597 eV/atom
Space group ... No. 187
Density of states at the Fermi level ... 3.663 states/eV per cell

Lattice parameters (Å, degrees): 4.7306 4.7307 4.2772 90.00 90.00 60.00
Each line ends with the local moment (μB).
Sites, in units of the cell vectors:
H 0.4873 0.0254 0.2244  0.00
H 0.4872 0.0255 0.7756  0.00
H 0.4873 0.4873 0.2244  0.00
H 0.0254 0.4873 0.2243  0.00
H 0.0255 0.4873 0.7756  0.00
H 0.4873 0.4872 0.7756  0.00
Ru 0.3333 0.3333 0.4999  0.45
Pd 0.6666 0.6667 0.5001  0.22
Sm 0.0000 0.0000 0.0000  0.01

=====

(5)
Computed, not measured: a relaxed structure of SnHPdRu2 at the PBE level of DFT.

Crystal system ... tetragonal
VASP energy ... -6.221 eV/atom
Space group ... No. 123
Density of states at the Fermi level ... 4.780 states/eV per cell

Lattice parameters (Å, degrees): 4.0614 4.0614 3.9473 90.00 90.00 90.00
Sites, in units of the cell vectors:
Sn 0.5000 0.5000 0.5000
H 0.0000 0.0000 0.0000
Pd 0.0000 0.0000 0.5000
Ru 0.0000 0.5000 0.0000
Ru 0.5000 0.0000 0.0000

=====

(6)
Computed, not measured: a relaxed structure of TaHPd2Ru at the PBE level of DFT.

Crystal system ... tetragonal
VASP energy ... -7.219 eV/atom
Space group ... No. 123
Density of states at the Fermi level ... 0.843 states/eV per cell

Lattice parameters (Å, degrees): 3.8932 3.8932 4.1921 90.00 90.00 90.00
Sites, in units of the cell vectors:
Ta 0.5000 0.5000 0.5000
Ru 0.0000 0.0000 0.5000
H 0.0000 0.0000 0.0000
Pd 0.5000 0.0000 0.0000
Pd 0.0000 0.5000 0.0000

=====

The calculation returns the following volume values, one per record and in order: 63.8 70.0 103.9 82.9 65.1 63.5 Å³/cell.